Material: Li2MnCr3O8
Method: DFT, PBE with a Hubbard U
State: optimized geometry

The distance to the lowest polymorph of the same formula is 0 meV per atom. Its theoretical density is 4.001 g cm⁻³.

The structure belongs to space group P4_32_12 (No. 96); the cell edges are 8.330, 8.330 and 8.440 Å and the angles 90.00°, 90.00° and 90.00°. The inequivalent atoms are Li at (0.002, 0.252, 0.377), Mn at (0.121, 0.879, 0.250), Cr at (0.125, 0.125, 0.000), Cr at (0.128, 0.372, 0.749), O at (0.109, 0.872, 0.481), O at (0.112, 0.131, 0.764), O at (0.112, 0.646, 0.260) and O at (0.116, 0.354, 0.988).